[1]
Material: Nd4As3O
Method: DFT, PBE
State: relaxed

Calculated values
The uncorrected formation energy is -1741 meV/atom. As for the space-group type: Pmn2_1, No. 31.

abc: 5.988 5.987 11.728
angles: 90.00 90.00 90.00
Fractional positions:
Nd 0.563 0.185 0.500
Nd 0.064 0.249 0.752
Nd 0.063 0.815 0.000
Nd 0.564 0.751 0.748
Nd 0.064 0.249 0.248
Nd 0.129 0.748 0.500
Nd 0.564 0.751 0.252
Nd 0.629 0.252 0.000
As 0.564 0.252 0.250
As 0.064 0.748 0.750
As 0.564 0.252 0.750
As 0.564 0.753 0.000
As 0.064 0.748 0.250
As 0.064 0.247 0.500
O 0.002 0.189 0.000
O 0.502 0.811 0.500



[2]
Material: Nd2As4O9
Method: DFT, PBE
State: relaxed

Calculated values
The uncorrected formation energy is -2037 meV/atom. As for the space-group type: P-1, No. 2.

abc: 6.975 7.780 9.944
angles: 95.30 104.27 104.67
Fractional positions:
As 0.321 0.244 0.586
As 0.308 0.347 0.201
As 0.823 0.220 0.429
As 0.177 0.780 0.571
As 0.679 0.756 0.414
As 0.750 0.082 0.791
As 0.250 0.918 0.209
As 0.692 0.653 0.799
Nd 0.219 0.532 0.906
Nd 0.751 0.940 0.117
Nd 0.249 0.060 0.883
Nd 0.781 0.468 0.094
O 0.872 0.543 0.876
O 0.345 0.870 0.060
O 0.896 0.686 0.515
O 0.128 0.457 0.124
O 0.222 0.754 0.750
O 0.640 0.655 0.241
O 0.001 0.227 0.831
O 0.591 0.667 0.950
O 0.778 0.246 0.250
O 0.817 0.979 0.378
O 0.360 0.345 0.759
O 0.409 0.333 0.050
O 0.183 0.021 0.622
O 0.864 0.899 0.860
O 0.655 0.130 0.940
O 0.104 0.314 0.485
O 0.999 0.773 0.169
O 0.136 0.101 0.140



[3]
Material: Nd2AsO5
Method: DFT, PBE
State: relaxed

Calculated values
The uncorrected formation energy is -2296 meV/atom. As for the space-group type: I4mm, No. 107.

abc: 5.488 5.488 5.279
angles: 121.36 121.37 89.98
Fractional positions:
O 0.769 0.769 0.019
O 0.250 0.250 0.019
O 0.250 0.769 0.019
O 0.753 0.753 0.506
O 0.769 0.250 0.019
As 0.997 0.997 0.993
Nd 0.744 0.245 0.489
Nd 0.245 0.744 0.489



[4]
Material: NdAsO4
Method: DFT, PBE
State: relaxed

Calculated values
The uncorrected formation energy is -2314 meV/atom. As for the space-group type: P2_1/c, No. 14.

abc: 7.202 6.780 8.386
angles: 53.77 90.00 90.00
Fractional positions:
O 0.505 0.833 0.745
O 0.844 0.106 0.394
O 0.789 0.608 0.614
O 0.005 0.167 0.755
O 0.344 0.894 0.106
O 0.211 0.392 0.386
O 0.604 0.353 0.479
O 0.289 0.392 0.886
O 0.495 0.167 0.255
O 0.896 0.353 0.979
O 0.995 0.833 0.245
O 0.656 0.106 0.894
O 0.156 0.894 0.606
O 0.396 0.647 0.521
O 0.711 0.608 0.114
O 0.104 0.647 0.021
Nd 0.650 0.810 0.282
Nd 0.850 0.810 0.782
Nd 0.350 0.190 0.718
Nd 0.150 0.190 0.218
As 0.661 0.309 0.302
As 0.161 0.691 0.198
As 0.339 0.691 0.698
As 0.839 0.309 0.802



[5]
Material: Nd3AsO7
Method: DFT, PBE
State: relaxed

Calculated values
The uncorrected formation energy is -2742 meV/atom. As for the space-group type: C222_1, No. 20.

abc: 6.591 6.591 7.598
angles: 90.00 90.00 109.19
Fractional positions:
O 0.698 0.932 0.975
O 0.056 0.944 0.750
O 0.366 0.634 0.750
O 0.950 0.709 0.469
O 0.709 0.950 0.531
O 0.634 0.366 0.250
O 0.944 0.056 0.250
O 0.932 0.698 0.025
O 0.370 0.630 0.250
O 0.068 0.302 0.525
O 0.050 0.291 0.969
O 0.291 0.050 0.031
O 0.302 0.068 0.475
O 0.630 0.370 0.750
Nd 0.463 0.002 0.755
Nd 0.537 0.998 0.255
Nd 0.475 0.475 0.500
Nd 0.998 0.537 0.745
Nd 0.002 0.463 0.245
Nd 0.525 0.525 0.000
As 0.999 0.999 0.500
As 0.001 0.001 0.000



[6]
Material: Nd2AsO5
Method: DFT, PBE
State: relaxed

Calculated values
The uncorrected formation energy is -2543 meV/atom. As for the space-group type: P2_1/c, No. 14.

abc: 7.082 7.462 9.376
angles: 90.00 91.67 90.00
Each line ends with the local moment (μB).
Fractional positions:
O 0.000 0.321 0.395  0.20
O 0.092 0.376 0.903  0.01
O 0.500 0.821 0.605  0.20
O 0.896 0.048 0.648  0.05
O 0.592 0.124 0.903  0.01
O 0.062 0.860 0.878  0.05
O 0.438 0.360 0.122  0.05
O 0.938 0.140 0.122  0.05
O 0.408 0.876 0.097  0.01
O 0.258 0.103 0.723  0.16
O 0.242 0.603 0.277  0.16
O 0.908 0.624 0.097  0.01
O 0.604 0.548 0.352  0.05
O 0.742 0.897 0.277  0.16
O 0.396 0.452 0.648  0.05
O 0.104 0.952 0.352  0.05
O 0.758 0.397 0.723  0.16
O 0.562 0.640 0.878  0.05
O 0.000 0.679 0.605  0.20
O 0.500 0.179 0.395  0.20
Nd 0.728 0.880 0.024  0.01
Nd 0.072 0.356 0.652  0.01
Nd 0.428 0.856 0.348  0.01
Nd 0.928 0.644 0.348  0.01
Nd 0.572 0.144 0.652  0.01
Nd 0.772 0.380 0.976  0.01
Nd 0.272 0.120 0.976  0.01
Nd 0.228 0.620 0.024  0.01
As 0.920 0.106 0.313  0.20
As 0.420 0.394 0.313  0.20
As 0.580 0.606 0.687  0.20
As 0.080 0.894 0.687  0.20



[7]
Material: Nd3AsO3
Method: DFT, PBE
State: relaxed

Calculated values
The uncorrected formation energy is -2730 meV/atom. As for the space-group type: R-3, No. 148.

abc: 6.929 6.929 8.201
angles: 65.01 65.01 60.00
Fractional positions:
O 0.806 0.133 0.627
O 0.434 0.806 0.627
O 0.867 0.566 0.373
O 0.566 0.194 0.373
O 0.194 0.867 0.373
O 0.133 0.434 0.627
Nd 0.543 0.907 0.291
Nd 0.093 0.741 0.709
Nd 0.457 0.093 0.709
Nd 0.741 0.457 0.709
Nd 0.907 0.259 0.291
Nd 0.259 0.543 0.291
As 0.333 0.333 0.000
As 0.667 0.667 0.000



[8]
Material: Nd3As2O2
Method: DFT, PBE
State: relaxed

Calculated values
The uncorrected formation energy is -2136 meV/atom. As for the space-group type: C2/m, No. 12.

abc: 4.089 7.034 6.589
angles: 110.20 108.08 90.00
Fractional positions:
O 0.838 0.597 0.676
O 0.162 0.403 0.324
Nd 0.000 0.500 0.000
Nd 0.686 0.266 0.372
Nd 0.314 0.734 0.628
As 0.618 0.807 0.236
As 0.382 0.193 0.764



[9]
Material: NdAsO4
Method: DFT, PBE
State: relaxed

Calculated values
The uncorrected formation energy is -2318 meV/atom. As for the space-group type: I4_1/a, No. 88.

abc: 6.918 6.918 6.918
angles: 136.10 136.10 63.83
Fractional positions:
O 0.670 0.284 0.110
O 0.716 0.826 0.386
O 0.439 0.330 0.614
O 0.174 0.561 0.890
O 0.576 0.689 0.610
O 0.080 0.966 0.390
O 0.034 0.424 0.114
O 0.311 0.920 0.886
As 0.250 0.750 0.500
As 0.500 0.500 0.000
Nd 0.000 0.000 0.000
Nd 0.750 0.250 0.500



[10]
Material: Nd4AsP2O
Method: DFT, PBE
State: relaxed

Calculated values
The uncorrected formation energy is -1787 meV/atom. As for the space-group type: Cmcm, No. 63.

abc: 4.116 7.061 14.410
angles: 90.00 90.00 106.95
Fractional positions:
As 0.890 0.781 0.250
As 0.110 0.219 0.750
P 0.635 0.270 0.058
P 0.635 0.270 0.442
P 0.365 0.730 0.942
P 0.365 0.730 0.558
Nd 0.000 0.000 0.000
Nd 0.732 0.465 0.625
Nd 0.268 0.535 0.375
Nd 0.566 0.133 0.250
Nd 0.732 0.465 0.875
Nd 0.268 0.535 0.125
Nd 0.000 0.000 0.500
Nd 0.434 0.867 0.750
O 0.157 0.314 0.250
O 0.843 0.686 0.750



[11]
Material: NdPaAsO2
Method: DFT, PBE
State: relaxed

Calculated values
The uncorrected formation energy is -2632 meV/atom. As for the space-group type: I4mm, No. 107.

abc: 3.852 3.852 6.775
angles: 106.52 106.52 90.00
Each line ends with the local moment (μB).
Fractional positions:
Pa 0.852 0.852 0.705  0.78
Nd 0.139 0.139 0.278  0.09
O 0.257 0.757 0.514  -0.01
O 0.757 0.257 0.514  -0.01
As 0.494 0.494 0.989  -0.03



[12]
Material: PmNdAs2O8
Method: DFT, PBE
State: relaxed

Calculated values
The uncorrected formation energy is -2324 meV/atom. As for the space-group type: I-4, No. 82.

abc: 5.158 5.158 6.893
angles: 111.97 111.97 90.00
Fractional positions:
O 0.310 0.920 0.344
O 0.034 0.423 0.344
O 0.718 0.826 0.155
O 0.671 0.282 0.845
O 0.437 0.329 0.155
O 0.080 0.966 0.656
O 0.174 0.563 0.845
O 0.577 0.690 0.656
Nd 0.750 0.250 0.500
As 0.250 0.750 0.500
As 0.500 0.500 0.000
Pm 0.000 0.000 0.000



[13]
Material: PrNdAs2O8
Method: DFT, PBE
State: relaxed

Calculated values
The uncorrected formation energy is -2313 meV/atom. As for the space-group type: I-4, No. 82.

abc: 5.185 5.185 6.943
angles: 111.93 111.93 90.00
Fractional positions:
O 0.080 0.964 0.656
O 0.036 0.424 0.344
O 0.308 0.920 0.344
O 0.715 0.825 0.154
O 0.576 0.692 0.656
O 0.670 0.285 0.846
O 0.439 0.330 0.154
O 0.175 0.561 0.846
Nd 0.000 0.000 0.000
Pr 0.750 0.250 0.500
As 0.500 0.500 0.000
As 0.250 0.750 0.500



[14]
Material: NdAs2PtO8
Method: DFT, PBE
State: relaxed

Calculated values
The uncorrected formation energy is -1345 meV/atom. As for the space-group type: P-3m1, No. 164.

abc: 5.481 5.481 6.987
angles: 90.00 90.00 120.00
Each line ends with the local moment (μB).
Fractional positions:
O 0.157 0.843 0.788  0.03
O 0.667 0.333 0.519  0.05
O 0.157 0.314 0.788  0.03
O 0.314 0.157 0.212  0.03
O 0.843 0.157 0.212  0.03
O 0.686 0.843 0.788  0.03
O 0.843 0.686 0.212  0.03
O 0.333 0.667 0.481  0.05
Pt 0.000 0.000 0.000  0.56
As 0.333 0.667 0.724  0.03
As 0.667 0.333 0.276  0.03
Nd 0.000 0.000 0.500  0.01



[15]
Material: NdPuAsO2
Method: DFT, PBE
State: relaxed

Calculated values
The uncorrected formation energy is -2425 meV/atom. As for the space-group type: I4mm, No. 107.

abc: 3.865 3.865 6.852
angles: 106.38 106.38 90.00
Each line ends with the local moment (μB).
Fractional positions:
Pu 0.152 0.152 0.304  4.65
Nd 0.852 0.852 0.704  0.00
As 0.505 0.505 0.010  -0.13
O 0.746 0.246 0.491  -0.07
O 0.246 0.746 0.491  -0.07



[16]
Material: RbNd2AsO5
Method: DFT, PBE
State: relaxed

Calculated values
The uncorrected formation energy is -2256 meV/atom. As for the space-group type: I4/mcm, No. 140.

abc: 6.902 6.902 7.792
angles: 116.29 116.29 90.00
Fractional positions:
O 0.000 0.000 0.000
O 0.760 0.987 0.247
O 0.500 0.500 0.000
O 0.513 0.740 0.753
O 0.987 0.487 0.247
O 0.013 0.513 0.753
O 0.260 0.760 0.247
O 0.740 0.240 0.753
O 0.240 0.013 0.753
O 0.487 0.260 0.247
As 0.750 0.250 0.500
As 0.250 0.750 0.500
Nd 0.679 0.179 0.000
Nd 0.821 0.679 0.000
Nd 0.179 0.321 0.000
Nd 0.321 0.821 0.000
Rb 0.250 0.250 0.500
Rb 0.750 0.750 0.500



[17]
Material: Rb2NdAs2O6
Method: DFT, PBE
State: relaxed

Calculated values
The uncorrected formation energy is -1887 meV/atom. As for the space-group type: C2/m, No. 12.

abc: 6.150 6.037 7.538
angles: 112.52 90.00 120.62
Each line ends with the local moment (μB).
Fractional positions:
As 0.066 0.132 0.217  0.14
As 0.934 0.868 0.783  0.14
Rb 0.715 0.430 0.189  0.00
Rb 0.285 0.570 0.811  0.00
O 0.788 0.035 0.737  0.05
O 0.247 0.035 0.737  0.05
O 0.249 0.497 0.392  0.12
O 0.751 0.503 0.608  0.12
O 0.753 0.965 0.263  0.05
O 0.212 0.965 0.263  0.05
Nd 0.500 0.000 0.500  0.02



[18]
Material: Rb3NdAs2O8
Method: DFT, PBE
State: relaxed

Calculated values
The uncorrected formation energy is -1975 meV/atom. As for the space-group type: P-3m1, No. 164.

abc: 6.107 6.107 8.190
angles: 90.00 90.00 120.00
Fractional positions:
O 0.360 0.180 0.669
O 0.820 0.180 0.669
O 0.333 0.667 0.048
O 0.180 0.820 0.331
O 0.667 0.333 0.952
O 0.180 0.360 0.331
O 0.640 0.820 0.331
O 0.820 0.640 0.669
Nd 0.000 0.000 0.500
As 0.333 0.667 0.254
As 0.667 0.333 0.746
Rb 0.000 0.000 0.000
Rb 0.667 0.333 0.281
Rb 0.333 0.667 0.719